(i)
DFT (PBE) results for Ce4CdGe after structural relaxation.

a = 5.131 Å, b = 6.013 Å, c = 6.013 Å
α = 98.68°, β = 65.15°, γ = 65.15°
Positions (direct):
Cd: 0.000 0.000 0.000
Ce: 0.731 0.576 0.924
Ce: 0.269 0.076 0.424
Ce: 0.731 0.924 0.576
Ge: 0.500 0.500 0.500
Ce: 0.269 0.424 0.076

Values from the calculation:
Crystal system   monoclinic
Space group   C2/m
Total magnetic moment   1.53 μB per cell

=====

(ii)
DFT (PBE) results for Ce4CdGe after structural relaxation.

a = 5.603 Å, b = 7.760 Å, c = 7.760 Å
α = 108.15°, β = 101.94°, γ = 101.94°
Positions (direct):
Ce: 0.381 0.060 0.663
Ge: 0.750 0.012 0.988
Ce: 0.876 0.833 0.611
Ge: 0.250 0.988 0.012
Ce: 0.119 0.337 0.940
Ce: 0.124 0.167 0.389
Ce: 0.619 0.940 0.337
Cd: 0.750 0.402 0.598
Ce: 0.376 0.611 0.833
Cd: 0.250 0.598 0.402
Ce: 0.881 0.663 0.060
Ce: 0.624 0.389 0.167

Values from the calculation:
Crystal system   monoclinic
Space group   C2/c
Total magnetic moment   0.66 μB per cell

=====

What should be chosen as the most stable of them? Choose (ii).

=====

(i)
DFT (PBE) results for CeHf2Cd after structural relaxation.

a = 3.220 Å, b = 3.220 Å, c = 9.024 Å
α = 90.00°, β = 90.00°, γ = 90.00°
Positions (direct):
Cd: 0.500 0.500 0.000
Ce: 0.500 0.500 0.500
Hf: 0.000 0.000 0.234
Hf: 0.000 0.000 0.766

Values from the calculation:
Crystal system   tetragonal
Space group   P4/mmm
Total magnetic moment   0.01 μB per cell

=====

(ii)
DFT (PBE) results for CeHf2Cd after structural relaxation.

a = 3.058 Å, b = 3.058 Å, c = 11.510 Å
α = 82.37°, β = 82.37°, γ = 60.00°
Positions (direct):
Hf: 0.910 0.910 0.270
Cd: 0.500 0.500 0.500
Hf: 0.090 0.090 0.730
Ce: 0.000 0.000 0.000

Values from the calculation:
Crystal system   trigonal
Space group   R-3m
Total magnetic moment   0.00 μB per cell

=====

(iii)
DFT (PBE) results for CeHf2Cd after structural relaxation.

a = 4.366 Å, b = 4.611 Å, c = 4.611 Å
α = 90.00°, β = 90.00°, γ = 90.00°
Positions (direct):
Hf: 0.000 0.500 0.000
Cd: 0.500 0.000 0.000
Ce: 0.500 0.500 0.500
Hf: 0.000 0.000 0.500

Values from the calculation:
Crystal system   tetragonal
Space group   P4/mmm
Total magnetic moment   0.00 μB per cell

=====

What should be chosen as the most stable of them? Choose (i).

=====

(i)
DFT (PBE) results for Ce2HfCd after structural relaxation.

a = 5.008 Å, b = 4.433 Å, c = 4.433 Å
α = 90.00°, β = 90.00°, γ = 90.00°
Positions (direct):
Ce: 0.000 0.500 0.000
Cd: 0.500 0.000 0.000
Hf: 0.500 0.500 0.500
Ce: 0.000 0.000 0.500

Values from the calculation:
Crystal system   tetragonal
Space group   P4/mmm
Total magnetic moment   0.98 μB per cell

=====

(ii)
DFT (PBE) results for Ce2HfCd after structural relaxation.

a = 3.159 Å, b = 3.159 Å, c = 10.079 Å
α = 90.00°, β = 90.00°, γ = 90.00°
Positions (direct):
Cd: 0.500 0.500 0.500
Ce: 0.000 0.000 0.754
Ce: 0.000 0.000 0.246
Hf: 0.500 0.500 0.000

Values from the calculation:
Crystal system   tetragonal
Space group   P4/mmm
Total magnetic moment   0.00 μB per cell

=====

(iii)
DFT (PBE) results for Ce2HfCd after structural relaxation.

a = 3.072 Å, b = 3.072 Å, c = 11.985 Å
α = 82.64°, β = 82.64°, γ = 60.00°
Positions (direct):
Ce: 0.916 0.916 0.253
Ce: 0.084 0.084 0.747
Cd: 0.500 0.500 0.500
Hf: 0.000 0.000 0.000

Values from the calculation:
Crystal system   trigonal
Space group   R-3m
Total magnetic moment   0.00 μB per cell

=====

What should be chosen as the most stable of them? Choose (ii).

=====

(i)
DFT (PBE) results for Ce2Cd2Hg after structural relaxation.

a = 3.282 Å, b = 5.048 Å, c = 7.893 Å
α = 108.63°, β = 90.00°, γ = 90.00°
Positions (direct):
Cd: 0.000 0.202 0.405
Ce: 0.500 0.594 0.189
Ce: 0.500 0.406 0.811
Hg: 0.000 0.000 0.000
Cd: 0.000 0.798 0.595

Values from the calculation:
Crystal system   orthorhombic
Space group   Cmmm
Total magnetic moment   1.52 μB per cell

=====

(ii)
DFT (PBE) results for Ce2Cd2Hg after structural relaxation.

a = 5.803 Å, b = 6.699 Å, c = 11.802 Å
α = 38.42°, β = 75.77°, γ = 64.33°
Positions (direct):
Ce: 0.300 0.589 0.563
Ce: 0.548 0.089 0.063
Hg: 0.879 0.250 0.750
Ce: 0.700 0.411 0.437
Cd: 0.336 0.950 0.651
Cd: 0.664 0.050 0.349
Cd: 0.937 0.550 0.849
Ce: 0.452 0.911 0.937
Hg: 0.121 0.750 0.250
Cd: 0.063 0.450 0.151

Values from the calculation:
Crystal system   monoclinic
Space group   C2/c
Total magnetic moment   2.23 μB per cell

=====

What should be chosen as the most stable of them? Choose (i).

=====

(i)
DFT (PBE) results for Ce2CdHg after structural relaxation.

a = 4.008 Å, b = 4.008 Å, c = 6.937 Å
α = 90.00°, β = 90.00°, γ = 90.00°
Positions (direct):
Ce: 0.000 0.000 0.754
Hg: 0.500 0.500 0.000
Cd: 0.500 0.500 0.500
Ce: 0.000 0.000 0.246

Values from the calculation:
Crystal system   tetragonal
Space group   P4/mmm
Total magnetic moment   2.77 μB per cell

=====

(ii)
DFT (PBE) results for Ce2CdHg after structural relaxation.

a = 4.830 Å, b = 4.599 Å, c = 4.599 Å
α = 90.00°, β = 90.00°, γ = 90.00°
Positions (direct):
Ce: 0.000 0.500 0.000
Cd: 0.500 0.000 0.000
Hg: 0.500 0.500 0.500
Ce: 0.000 0.000 0.500

Values from the calculation:
Crystal system   tetragonal
Space group   P4/mmm
Total magnetic moment   1.59 μB per cell

=====

What should be chosen as the most stable of them? Choose (ii).

=====

(i)
DFT (PBE) results for CeCd2Hg3 after structural relaxation.

a = 4.719 Å, b = 4.858 Å, c = 13.173 Å
α = 90.00°, β = 90.00°, γ = 90.00°
Positions (direct):
Hg: 0.499 0.500 0.667
Ce: 0.999 0.500 0.500
Hg: 0.499 0.500 0.333
Hg: 0.501 0.000 0.833
Hg: 0.501 0.500 0.000
Cd: 0.000 0.000 0.677
Cd: 0.000 0.000 0.323
Ce: 0.001 0.000 0.000
Cd: 0.000 0.500 0.177
Hg: 0.501 0.000 0.167
Cd: 0.000 0.500 0.823
Hg: 0.499 0.000 0.500

Values from the calculation:
Crystal system   orthorhombic
Space group   Pmmn
Total magnetic moment   2.33 μB per cell

=====

(ii)
DFT (PBE) results for CeCd2Hg3 after structural relaxation.

a = 5.049 Å, b = 5.049 Å, c = 13.543 Å
α = 90.00°, β = 90.00°, γ = 120.00°
Positions (direct):
Hg: 0.333 0.667 0.133
Cd: 0.667 0.333 0.115
Hg: 0.333 0.667 0.367
Hg: 0.000 0.000 0.500
Cd: 0.667 0.333 0.385
Hg: 0.000 0.000 0.000
Cd: 0.333 0.667 0.885
Hg: 0.667 0.333 0.633
Ce: 0.000 0.000 0.750
Cd: 0.333 0.667 0.615
Ce: 0.000 0.000 0.250
Hg: 0.667 0.333 0.867

Values from the calculation:
Crystal system   hexagonal
Space group   P6_3/mmc
Total magnetic moment   2.04 μB per cell

=====

What should be chosen as the most stable of them? Choose (ii).

=====

(i)
DFT (PBE) results for CeCd4Hg after structural relaxation.

a = 5.047 Å, b = 5.047 Å, c = 6.688 Å
α = 90.00°, β = 90.00°, γ = 120.00°
Positions (direct):
Cd: 0.333 0.667 0.751
Ce: 0.000 0.000 0.500
Cd: 0.667 0.333 0.249
Cd: 0.667 0.333 0.751
Hg: 0.000 0.000 0.000
Cd: 0.333 0.667 0.249

Values from the calculation:
Crystal system   hexagonal
Space group   P6/mmm
Total magnetic moment   0.94 μB per cell

=====

(ii)
DFT (PBE) results for CeCd4Hg after structural relaxation.

a = 5.962 Å, b = 5.962 Å, c = 5.962 Å
α = 60.00°, β = 60.00°, γ = 60.00°
Positions (direct):
Cd: 0.625 0.125 0.625
Cd: 0.625 0.625 0.625
Cd: 0.125 0.625 0.625
Ce: 0.250 0.250 0.250
Cd: 0.625 0.625 0.125
Hg: 0.000 0.000 0.000

Values from the calculation:
Crystal system   cubic
Space group   F-43m
Total magnetic moment   0.98 μB per cell

=====

(iii)
DFT (PBE) results for CeCd4Hg after structural relaxation.

a = 4.627 Å, b = 7.378 Å, c = 8.990 Å
α = 90.00°, β = 104.91°, γ = 90.00°
Positions (direct):
Ce: 0.872 0.750 0.743
Hg: 0.767 0.250 0.533
Cd: 0.938 0.250 0.875
Cd: 0.334 0.054 0.668
Cd: 0.500 0.500 0.000
Cd: 0.666 0.946 0.332
Ce: 0.128 0.250 0.257
Cd: 0.062 0.750 0.125
Cd: 0.500 0.000 0.000
Cd: 0.334 0.446 0.668
Cd: 0.666 0.554 0.332
Hg: 0.233 0.750 0.467

Values from the calculation:
Crystal system   orthorhombic
Space group   Cmcm
Total magnetic moment   2.05 μB per cell

=====

What should be chosen as the most stable of them? Choose (i).

=====

(i)
DFT (PBE) results for Ce2Cd3Hg4 after structural relaxation.

a = 5.141 Å, b = 5.148 Å, c = 9.776 Å
α = 89.39°, β = 89.96°, γ = 60.05°
Positions (direct):
Hg: 0.334 0.331 0.104
Ce: 0.331 0.339 0.780
Cd: 0.000 0.000 0.000
Cd: 0.336 0.327 0.427
Hg: 0.666 0.669 0.896
Hg: 0.004 0.991 0.344
Cd: 0.664 0.673 0.573
Hg: 0.996 0.009 0.656
Ce: 0.669 0.661 0.220

Values from the calculation:
Crystal system   monoclinic
Space group   C2/m
Total magnetic moment   2.11 μB per cell

=====

(ii)
DFT (PBE) results for Ce2Cd3Hg4 after structural relaxation.

a = 6.278 Å, b = 8.857 Å, c = 8.858 Å
α = 90.00°, β = 110.75°, γ = 90.00°
Positions (direct):
Hg: 0.680 0.536 0.359
Cd: 0.029 0.750 0.558
Cd: 0.000 0.000 0.000
Hg: 0.820 0.036 0.641
Ce: 0.111 0.585 0.222
Cd: 0.500 0.500 0.000
Hg: 0.704 0.750 0.908
Hg: 0.320 0.464 0.641
Ce: 0.611 0.915 0.222
Cd: 0.471 0.250 0.442
Ce: 0.389 0.085 0.778
Hg: 0.180 0.964 0.359
Hg: 0.204 0.750 0.908
Hg: 0.796 0.250 0.092
Cd: 0.529 0.750 0.558
Cd: 0.971 0.250 0.442
Hg: 0.296 0.250 0.092
Ce: 0.889 0.415 0.778

Values from the calculation:
Crystal system   orthorhombic
Space group   Cmce
Total magnetic moment   5.61 μB per cell

=====

What should be chosen as the most stable of them? Choose (i).

=====

(i)
DFT (PBE) results for Ce3Cd4Hg2 after structural relaxation.

a = 4.412 Å, b = 7.864 Å, c = 7.864 Å
α = 120.00°, β = 90.00°, γ = 90.00°
Positions (direct):
Cd: 0.500 0.000 0.000
Hg: 0.000 0.667 0.333
Ce: 0.500 0.000 0.422
Hg: 0.000 0.333 0.667
Cd: 0.000 0.247 0.247
Ce: 0.500 0.422 0.000
Ce: 0.500 0.578 0.578
Cd: 0.000 0.000 0.753
Cd: 0.000 0.753 0.000

Values from the calculation:
Crystal system   hexagonal
Space group   P-62m
Total magnetic moment   3.09 μB per cell

=====

(ii)
DFT (PBE) results for Ce3Cd4Hg2 after structural relaxation.

a = 5.113 Å, b = 6.092 Å, c = 9.450 Å
α = 119.44°, β = 90.00°, γ = 114.81°
Positions (direct):
Hg: 0.610 0.220 0.277
Cd: 0.276 0.553 0.945
Ce: 0.000 0.000 0.000
Cd: 0.053 0.106 0.388
Cd: 0.724 0.447 0.055
Hg: 0.390 0.780 0.723
Ce: 0.332 0.663 0.334
Ce: 0.668 0.337 0.666
Cd: 0.947 0.894 0.612

Values from the calculation:
Crystal system   monoclinic
Space group   C2/m
Total magnetic moment   3.97 μB per cell

=====

What should be chosen as the most stable of them? Choose (ii).

=====

(i)
DFT (PBE) results for Ce3Cd3Hg2 after structural relaxation.

a = 4.895 Å, b = 4.857 Å, c = 9.253 Å
α = 105.03°, β = 105.34°, γ = 90.00°
Positions (direct):
Hg: 0.752 0.752 0.504
Cd: 0.634 0.135 0.269
Cd: 0.366 0.865 0.731
Ce: 0.129 0.631 0.259
Hg: 0.248 0.248 0.496
Ce: 0.000 0.000 0.000
Cd: 0.500 0.500 0.000
Ce: 0.871 0.369 0.741

Values from the calculation:
Crystal system   monoclinic
Space group   C2/m
Total magnetic moment   3.44 μB per cell

=====

(ii)
DFT (PBE) results for Ce3Cd3Hg2 after structural relaxation.

a = 3.952 Å, b = 8.068 Å, c = 8.068 Å
α = 120.00°, β = 90.00°, γ = 90.00°
Positions (direct):
Ce: 0.500 0.000 0.599
Ce: 0.500 0.401 0.401
Hg: 0.000 0.333 0.667
Hg: 0.000 0.667 0.333
Ce: 0.500 0.599 0.000
Cd: 0.000 0.226 0.000
Cd: 0.000 0.000 0.226
Cd: 0.000 0.774 0.774

Values from the calculation:
Crystal system   hexagonal
Space group   P-62m
Total magnetic moment   3.55 μB per cell

=====

What should be chosen as the most stable of them? Choose (i).

=====

(i)
DFT (PBE) results for CeCdHg4 after structural relaxation.

a = 4.952 Å, b = 7.748 Å, c = 8.362 Å
α = 90.00°, β = 107.22°, γ = 90.00°
Positions (direct):
Hg: 0.473 0.950 0.945
Hg: 0.349 0.654 0.697
Hg: 0.008 0.709 0.016
Hg: 0.992 0.209 0.984
Ce: 0.827 0.937 0.654
Hg: 0.194 0.941 0.388
Cd: 0.358 0.243 0.715
Cd: 0.642 0.743 0.285
Hg: 0.527 0.450 0.055
Hg: 0.806 0.441 0.612
Hg: 0.651 0.154 0.303
Ce: 0.173 0.437 0.346

Values from the calculation:
Crystal system   orthorhombic
Space group   Cmc2_1
Total magnetic moment   2.08 μB per cell

=====

(ii)
DFT (PBE) results for CeCdHg4 after structural relaxation.

a = 6.045 Å, b = 6.045 Å, c = 6.045 Å
α = 60.00°, β = 60.00°, γ = 60.00°
Positions (direct):
Cd: 0.000 0.000 0.000
Hg: 0.625 0.125 0.625
Hg: 0.625 0.625 0.625
Hg: 0.625 0.625 0.125
Ce: 0.250 0.250 0.250
Hg: 0.125 0.625 0.625

Values from the calculation:
Crystal system   cubic
Space group   F-43m
Total magnetic moment   1.06 μB per cell

=====

What should be chosen as the most stable of them? Choose (i).